# PBE+U Mn2SnGeO6, relaxed
data_Mn2SnGeO6
_space_group_name_H-M_alt 'R 3'
_space_group_IT_number 146
_space_group_name_Hall 'R 3'
_cell_length_a 5.3412
_cell_length_b 5.3412
_cell_length_c 13.7818
_cell_angle_alpha 90.00
_cell_angle_beta 90.00
_cell_angle_gamma 120.00
loop_
_atom_site_label
_atom_site_type_symbol
_atom_site_fract_x
_atom_site_fract_y
_atom_site_fract_z
Mn1 Mn 0.0000 0.0000 0.0000
Mn2 Mn 0.0000 0.0000 0.4981
Sn1 Sn 0.0000 0.0000 0.2206
Ge1 Ge 0.0000 0.0000 0.7184
O1 O 0.9997 0.3845 0.4535
O2 O 0.0643 0.6985 0.2925
# - Magnetization: 30.00 μB per cell
# - DFT total energy: -6.94 eV/atom
# - Crystal system: trigonal